An optimized crystal structure of Ce8Sb3P4. Source: Alexandria via LeMat-Bulk, functional PBE-GGA.

The structure in POSCAR format:
```
Ce8Sb3P4
1.0
8.466 -0.108 -0.155
-4.121 7.484 0.169
-4.121 -2.440 7.077
Ce Sb P
8 3 4
direct
0.980 0.231 0.231 Ce
0.000 0.761 0.239 Ce
0.525 0.773 0.773 Ce
0.500 0.759 0.241 Ce
0.500 0.241 0.759 Ce
0.000 0.239 0.761 Ce
0.475 0.227 0.227 Ce
0.020 0.769 0.769 Ce
0.500 0.500 0.500 Sb
0.500 0.000 0.500 Sb
0.500 0.500 0.000 Sb
0.000 0.500 0.000 P
0.000 0.000 0.000 P
0.500 0.000 0.000 P
0.000 0.000 0.500 P
```

Volume = 442.48 Å³/f.u.
Crystal system = monoclinic
Formation energy without anion corrections = -1.078 eV/atom